1.
First-principles (GGA-PBE) data for a geometry-optimized KScInTe2 structure, as listed in Alexandria.

a b c (Å): 6.1697 5.3145 6.1697
angles (deg): 90.00 90.00 90.00
With the nearest neighbours (Å) after each atom.
Atoms (fractional coordinates):
Sc 0.0000 0.5000 0.0000  2 K 2.66
K 0.0000 0.0000 0.0000  2 Sc 2.66
Te 0.0000 0.0000 0.5000  2 K 3.08
Te 0.5000 0.0000 0.0000  2 K 3.08
In 0.5000 0.5000 0.5000  8 Te 4.07, 4 Sc 4.36

Calculated values
For the uncorrected formation energy, the calculation gives 660.6 meV per atom. The value obtained for the final energy is -2.63 eV/atom. The density of states at the Fermi level comes out at 4.83 states/eV/cell. Its space group is P4/mmm.



2.
First-principles (GGA-PBE) data for a geometry-optimized CsHfI2N structure, as listed in Alexandria.

a b c (Å): 6.2073 6.2073 4.0967
angles (deg): 90.00 90.00 90.00
With the nearest neighbours (Å) after each atom.
Atoms (fractional coordinates):
Cs 0.5000 0.5000 0.5000  8 I 3.72, 2 Cs 4.10
I 0.0000 0.5000 0.0000  2 Hf 3.10
I 0.5000 0.0000 0.0000  2 Hf 3.10
Hf 0.0000 0.0000 0.0000  2 N 2.05
N 0.0000 0.0000 0.5000  2 Hf 2.05

Calculated values
For the energy above the most stable polymorph in this dataset, the calculation gives 0.000 eV/atom. For the uncorrected formation energy, the calculation gives -741.9 meV per atom. The value obtained for the final energy is -5.19 eV/atom. The density of states at the Fermi level comes out at 1.26 states/eV/cell. Its space group is P4/mmm.



3.
First-principles (GGA-PBE) data for a geometry-optimized CaHgIr structure, as listed in Alexandria.

a b c (Å): 5.4471 5.4471 5.4471
angles (deg): 145.23 136.93 56.50
With the nearest neighbours (Å) after each atom.
Atoms (fractional coordinates):
Ca 0.0068 0.0068 0.0000  5 Hg 2.96-3.17, 5 Ir 3.06-3.16, 2 Ca 3.26
Ir 0.6776 0.6776 0.0000  4 Hg 2.90, 5 Ca 3.06-3.16
Hg 0.3155 0.3155 0.0000  4 Ir 2.90, 5 Ca 2.96-3.17

Calculated values
The value obtained for the final energy is -3.77 eV/atom. The density of states at the Fermi level comes out at 1.42 states/eV/cell. The formation energy is -0.048 eV/atom. Its space group is Imm2.



4.
First-principles (GGA-PBE) data for a geometry-optimized CeTeBrO4 structure, as listed in Alexandria.

a b c (Å): 6.5584 6.5584 7.1693
angles (deg): 76.55 76.55 67.69
With the nearest neighbours (Å) after each atom.
Atoms (fractional coordinates):
Ce 0.2365 0.2365 0.8745  4 O 2.26-2.32
Ce 0.7635 0.7635 0.1255  4 O 2.26-2.32
Te 0.6337 0.6337 0.7252  4 O 1.90-1.94
Te 0.3663 0.3663 0.2748  4 O 1.90-1.94
Br 0.0097 0.0097 0.2374  2 Ce 3.01-3.05, 3 O 3.17-3.31
Br 0.9903 0.9903 0.7626  2 Ce 3.01-3.05, 3 O 3.17-3.31
O 0.2871 0.2871 0.5466  1 Te 1.90
O 0.7129 0.7129 0.4534  1 Te 1.90
O 0.1108 0.4846 0.1405  1 Te 1.94
O 0.5477 0.5477 0.2042  1 Te 1.90
O 0.5154 0.8892 0.8595  1 Te 1.94
O 0.4846 0.1108 0.1405  1 Te 1.94
O 0.4523 0.4523 0.7958  1 Te 1.90
O 0.8892 0.5154 0.8595  1 Te 1.94

Calculated values
For the uncorrected formation energy, the calculation gives -1705.8 meV per atom. The value obtained for the final energy is -6.07 eV/atom. The density of states at the Fermi level comes out at 7.25 states/eV/cell. Its space group is C2/m.